Entry 1:
Here is a relaxed In2CoSe crystal from Alexandria. Energies are from PBE-GGA.

Cell: 3.6534 3.6534 7.5795 Å, 103.97 103.97 60.13°
Closest atoms and distances in Å follow each position.
Sites, in units of the cell vectors:
1 In 0.2444 0.2444 0.2326  3 Co 2.70-2.71, 3 Se 2.87
2 In 0.7556 0.7556 0.7674  3 Co 2.70-2.71, 3 Se 2.87
3 Co 0.5000 0.5000 0.0000  6 In 2.70-2.71
4 Se 0.0000 0.0000 0.5000  6 In 2.87

Computed properties:
For the mass density, the calculation gives 7244 kg/m3. The value obtained for the energy relative to the elements, uncorrected is 0.5 eV per formula unit.

Entry 2:
Here is a relaxed InIr crystal from Alexandria. Energies are from PBE-GGA.

Cell: 3.0324 15.3127 4.6878 Å, 90.00 90.00 90.00°
Closest atoms and distances in Å follow each position.
Sites, in units of the cell vectors:
1 In 0.2500 0.0895 0.0833  6 Ir 2.67-2.86
2 In 0.2500 0.4105 0.0833  6 Ir 2.67-2.86
3 In 0.2500 0.7500 0.6265  6 Ir 2.74-2.96, 2 In 3.03
4 In 0.7500 0.2500 0.3735  6 Ir 2.74-2.96, 2 In 3.03
5 In 0.7500 0.5895 0.9167  6 Ir 2.67-2.86
6 In 0.7500 0.9105 0.9167  6 Ir 2.67-2.86
7 Ir 0.2500 0.2500 0.8592  6 In 2.67-2.85
8 Ir 0.2500 0.5677 0.4137  2 Ir 2.69, 6 In 2.80-2.96
9 Ir 0.2500 0.9323 0.4137  2 Ir 2.69, 6 In 2.80-2.96
10 Ir 0.7500 0.0677 0.5863  2 Ir 2.69, 6 In 2.80-2.96
11 Ir 0.7500 0.4323 0.5863  2 Ir 2.69, 6 In 2.80-2.96
12 Ir 0.7500 0.7500 0.1408  6 In 2.67-2.85

Computed properties:
For the mass density, the calculation gives 14053 kg/m3. The raw total energy comes out at -0.419 Ry per atom.

Entry 3:
Here is a relaxed ThMg2Tl2 crystal from Alexandria. Energies are from PBE-GGA.

Cell: 7.1823 7.1823 7.1823 Å, 143.44 143.44 52.66°
Closest atoms and distances in Å follow each position.
Sites, in units of the cell vectors:
1 Th 0.0000 0.0000 0.0000  8 Tl 3.50
2 Mg 0.2500 0.7500 0.5000  4 Tl 2.87, 4 Mg 3.19
3 Mg 0.7500 0.2500 0.5000  4 Tl 2.87, 4 Mg 3.19
4 Tl 0.3883 0.3883 0.0000  4 Mg 2.87, 1 Tl 2.87
5 Tl 0.6117 0.6117 0.0000  4 Mg 2.87, 1 Tl 2.87

Computed properties:
For the mass density, the calculation gives 8761 kg/m3. The value obtained for the relative energy among the computed polymorphs is 0.14 eV/f.u.

Entry 4:
Here is a relaxed CeLuCdPb crystal from Alexandria. Energies are from PBE-GGA.

Cell: 5.3752 5.3752 5.3752 Å, 60.00 60.00 60.00°
Closest atoms and distances in Å follow each position.
Sites, in units of the cell vectors:
1 Ce 0.0000 0.0000 0.0000  4 Cd 3.29, 4 Pb 3.29
2 Lu 0.5000 0.5000 0.5000  4 Cd 3.29, 4 Pb 3.29
3 Cd 0.7500 0.7500 0.7500  4 Ce 3.29, 4 Lu 3.29
4 Pb 0.2500 0.2500 0.2500  4 Ce 3.29, 4 Lu 3.29

Computed properties:
For the mass density, the calculation gives 9597 kg/m3. The raw total energy comes out at -0.298 Ry per atom.